(1)
# Er3Cd2Au

A geometry-optimized Er3Cd2Au structure (PBE, Alexandria).

a = 5.1668 Å, b = 5.1668 Å, c = 6.3503 Å
α = 90.00°, β = 90.00°, γ = 120.00°
Space group P-3m1 (No. 164)
Inequivalent atoms, fractional coordinates:
Er (0.0000, 0.0000, 0.0000) (multiplicity 1)
Er (0.3333, 0.6667, 0.6497) (multiplicity 2)
Cd (0.3333, 0.6667, 0.1474) (multiplicity 2)
Au (0.0000, 0.0000, 0.5000) (multiplicity 1)

Output
- energy above the lowest structure with this stoichiometry (meV per atom) = 14.4
- VASP energy (eV/atom) = -3.63
- volume (Å³/cell) = 147



(2)
# ErCd3Au3

A geometry-optimized ErCd3Au3 structure (PBE, Alexandria).

a = 7.502 Å, b = 7.502 Å, c = 7.502 Å
α = 90.00°, β = 90.00°, γ = 90.00°
Space group Pm-3n (No. 223)
Inequivalent atoms, fractional coordinates:
Er (0.000, 0.000, 0.000) (multiplicity 2)
Cd (0.000, 0.250, 0.500) (multiplicity 6)
Au (0.000, 0.500, 0.250) (multiplicity 6)

Output
- VASP energy (eV/atom) = -2.13
- volume (Å³/cell) = 422



(3)
# Er6CdAu

A geometry-optimized Er6CdAu structure (PBE, Alexandria).

a = 6.022 Å, b = 6.024 Å, c = 6.027 Å
α = 93.62°, β = 93.70°, γ = 93.86°
Space group P-1 (No. 2)
Inequivalent atoms, fractional coordinates:
Er (0.024, 0.056, 0.256) (multiplicity 2)
Er (0.244, 0.475, 0.943) (multiplicity 2)
Er (0.444, 0.744, 0.474) (multiplicity 2)
Cd (0.500, 0.000, 0.000) (multiplicity 1)
Au (0.000, 0.500, 0.500) (multiplicity 1)

Output
- VASP energy (eV/atom) = -4.13
- volume (Å³/cell) = 217



(4)
# EuErCdAu

A geometry-optimized EuErCdAu structure (PBE, Alexandria).

a = 7.444 Å, b = 7.444 Å, c = 7.444 Å
α = 90.00°, β = 90.00°, γ = 90.00°
Space group F-43m (No. 216)
Inequivalent atoms, fractional coordinates:
Eu (0.000, 0.000, 0.000) (multiplicity 4)
Er (0.000, 0.000, 0.500) (multiplicity 4)
Cd (0.250, 0.250, 0.750) (multiplicity 4)
Au (0.250, 0.250, 0.250) (multiplicity 4)

Output
- VASP energy (eV/atom) = -5.27
- volume (Å³/cell) = 412